A geometry-optimized Al3Cu structure, computed with PBE.

Computed properties:
**VASP energy**: -3.92 eV per atom

a b c (Å): 5.076 6.461 7.624
angles (deg): 90.00 90.00 90.00
Fractional positions:
Cu1 0.055 0.626 0.250
Cu2 0.555 0.874 0.750
Cu3 0.445 0.126 0.250
Cu4 0.945 0.374 0.750
Al1 0.349 0.824 0.046
Al2 0.151 0.324 0.454
Al3 0.651 0.176 0.954
Al4 0.421 0.493 0.750
Al5 0.849 0.676 0.954
Al6 0.349 0.824 0.454
Al7 0.151 0.324 0.046
Al8 0.921 0.007 0.250
Al9 0.579 0.507 0.250
Al10 0.849 0.676 0.546
Al11 0.079 0.993 0.750
Al12 0.651 0.176 0.546

A geometry-optimized Al3Cu8 structure, computed with PBE.

Computed properties:
**VASP energy**: -3.75 eV per atom
**ΔE to the lowest computed polymorph**: 453 meV per atom

a b c (Å): 5.547 5.547 5.547
angles (deg): 96.68 96.68 96.68
Fractional positions:
Cu1 0.042 0.688 0.928
Cu2 0.072 0.958 0.312
Cu3 0.958 0.312 0.072
Cu4 0.643 0.643 0.643
Cu5 0.312 0.072 0.958
Cu6 0.928 0.042 0.688
Cu7 0.688 0.928 0.042
Cu8 0.357 0.357 0.357
Al1 0.500 0.000 0.500
Al2 0.500 0.500 0.000
Al3 0.000 0.500 0.500

A geometry-optimized Al4Cu5 structure, computed with PBE.

Computed properties:
**VASP energy**: -4.09 eV per atom
**ΔE to the lowest computed polymorph**: 0 meV per atom

a b c (Å): 5.934 5.934 5.934
angles (deg): 95.84 95.84 142.79
Fractional positions:
Cu1 0.668 0.668 0.336
Cu2 0.000 0.000 0.000
Cu3 0.332 0.668 0.000
Cu4 0.668 0.332 0.000
Cu5 0.332 0.332 0.664
Al1 0.000 0.681 0.681
Al2 0.319 0.000 0.319
Al3 0.681 0.000 0.681
Al4 0.000 0.319 0.319

A geometry-optimized Al3Cu structure, computed with PBE.

Computed properties:
**VASP energy**: -3.86 eV per atom

a b c (Å): 3.925 3.925 3.925
angles (deg): 90.00 90.00 90.00
Fractional positions:
Al1 0.500 0.500 0.000
Al2 0.500 0.000 0.500
Al3 0.000 0.500 0.500
Cu1 0.000 0.000 0.000

A geometry-optimized Al4Cu structure, computed with PBE.

Computed properties:
**VASP energy**: -3.51 eV per atom
**ΔE to the lowest computed polymorph**: 341 meV per atom

a b c (Å): 6.967 6.967 6.967
angles (deg): 148.91 148.91 44.55
Fractional positions:
Al1 0.250 0.750 0.500
Al2 0.597 0.597 0.000
Al3 0.403 0.403 0.000
Al4 0.750 0.250 0.500
Cu1 0.000 0.000 0.000

A geometry-optimized Al3Cu structure, computed with PBE.

Computed properties:
**VASP energy**: -3.83 eV per atom

a b c (Å): 5.888 5.888 5.888
angles (deg): 153.69 134.99 52.88
Fractional positions:
Al1 0.711 0.711 0.000
Al2 0.289 0.289 0.000
Al3 0.000 0.500 0.500
Cu1 0.500 0.000 0.500

A geometry-optimized Al3Cu structure, computed with PBE.

Computed properties:
**VASP energy**: -3.93 eV per atom

a b c (Å): 4.859 10.081 10.081
angles (deg): 90.00 90.00 90.00
Fractional positions:
Al1 0.722 0.969 0.139
Al2 0.722 0.031 0.861
Al3 0.001 0.722 0.171
Al4 0.487 0.081 0.393
Al5 0.222 0.639 0.531
Al6 0.487 0.919 0.607
Al7 0.013 0.419 0.107
Al8 0.987 0.107 0.581
Al9 0.499 0.222 0.671
Al10 0.001 0.278 0.829
Al11 0.222 0.361 0.469
Al12 0.513 0.607 0.081
Al13 0.278 0.139 0.031
Al14 0.999 0.829 0.722
Al15 0.778 0.469 0.639
Al16 0.513 0.393 0.919
Al17 0.999 0.171 0.278
Al18 0.987 0.893 0.419
Al19 0.499 0.778 0.329
Al20 0.501 0.329 0.222
Al21 0.778 0.531 0.361
Al22 0.278 0.861 0.969
Al23 0.013 0.581 0.893
Al24 0.501 0.671 0.778
Cu1 0.269 0.454 0.708
Cu2 0.769 0.208 0.046
Cu3 0.231 0.046 0.792
Cu4 0.731 0.292 0.454
Cu5 0.269 0.546 0.292
Cu6 0.769 0.792 0.954
Cu7 0.231 0.954 0.208
Cu8 0.731 0.708 0.546

A geometry-optimized AlCu4 structure, computed with PBE.

Computed properties:
**VASP energy**: -3.88 eV per atom

a b c (Å): 7.112 7.112 7.112
angles (deg): 109.47 109.47 109.47
Fractional positions:
Cu1 0.750 0.250 0.500
Cu2 0.250 0.750 0.500
Cu3 0.000 0.230 0.000
Cu4 0.750 0.500 0.250
Cu5 0.500 0.750 0.250
Cu6 0.000 0.651 0.651
Cu7 0.250 0.500 0.750
Cu8 0.000 0.000 0.230
Cu9 0.349 0.349 0.000
Cu10 0.651 0.651 0.000
Cu11 0.500 0.250 0.750
Cu12 0.000 0.349 0.349
Cu13 0.230 0.000 0.000
Cu14 0.770 0.770 0.770
Cu15 0.651 0.000 0.651
Cu16 0.349 0.000 0.349
Al1 0.000 0.000 0.593
Al2 0.407 0.407 0.407
Al3 0.593 0.000 0.000
Al4 0.000 0.593 0.000

A geometry-optimized AlCu7 structure, computed with PBE.

Computed properties:
**VASP energy**: -4.16 eV per atom

a b c (Å): 5.173 5.173 5.173
angles (deg): 60.00 60.00 60.00
Fractional positions:
Cu1 0.500 0.500 0.000
Cu2 0.500 0.000 0.000
Cu3 0.500 0.000 0.500
Cu4 0.500 0.500 0.500
Cu5 0.000 0.500 0.000
Cu6 0.000 0.500 0.500
Cu7 0.000 0.000 0.500
Al1 0.000 0.000 0.000

A geometry-optimized Al5Cu structure, computed with PBE.

Computed properties:
**VASP energy**: -3.47 eV per atom

a b c (Å): 5.106 5.106 4.820
angles (deg): 90.00 90.00 120.00
Fractional positions:
Al1 0.333 0.667 0.000
Al2 0.500 0.500 0.500
Al3 0.667 0.333 0.000
Al4 0.500 0.000 0.500
Al5 0.000 0.500 0.500
Cu1 0.000 0.000 0.000

A geometry-optimized Al5Cu3 structure, computed with PBE.

Computed properties:
**VASP energy**: -3.97 eV per atom
**ΔE to the lowest computed polymorph**: 0 meV per atom

a b c (Å): 5.466 5.466 3.864
angles (deg): 90.00 90.00 92.71
Fractional positions:
Al1 0.000 0.000 0.000
Al2 0.500 0.000 0.000
Al3 0.271 0.271 0.500
Al4 0.729 0.729 0.500
Al5 0.000 0.500 0.000
Cu1 0.236 0.764 0.500
Cu2 0.764 0.236 0.500
Cu3 0.500 0.500 0.000

A geometry-optimized Al3Cu structure, computed with PBE.

Computed properties:
**VASP energy**: -3.87 eV per atom

a b c (Å): 3.927 3.927 4.814
angles (deg): 114.07 114.07 90.00
Fractional positions:
Al1 0.500 0.500 0.000
Al2 0.750 0.250 0.500
Al3 0.250 0.750 0.500
Cu1 0.000 0.000 0.000

What did the fifth record say?
A geometry-optimized Al4Cu structure, computed with PBE.

Computed properties:
**VASP energy**: -3.51 eV per atom
**ΔE to the lowest computed polymorph**: 341 meV per atom

a b c (Å): 6.967 6.967 6.967
angles (deg): 148.91 148.91 44.55
Fractional positions:
Al1 0.250 0.750 0.500
Al2 0.597 0.597 0.000
Al3 0.403 0.403 0.000
Al4 0.750 0.250 0.500
Cu1 0.000 0.000 0.000